Computed, not measured: an optimized crystal structure of UV3O8 at the PBE with a Hubbard U level of DFT.

Calculated values
**DFT total energy**: -8.390 eV per atom
**Size of the total moment**: 5.0 μB per formula unit

abc: 12.677 4.132 6.630
angles: 90.00 105.84 90.00
Space group Cm (No. 8)
Unique sites:
U: 0.000 0.000 0.000 (multiplicity 2)
V: 0.110 0.000 0.611 (multiplicity 2)
V: 0.306 0.000 0.993 (multiplicity 2)
V: 0.407 0.000 0.568 (multiplicity 2)
O: 0.062 0.500 0.605 (multiplicity 2)
O: 0.069 0.000 0.298 (multiplicity 2)
O: 0.150 0.000 0.941 (multiplicity 2)
O: 0.268 0.000 0.674 (multiplicity 2)
O: 0.340 0.500 0.008 (multiplicity 2)
O: 0.350 0.000 0.301 (multiplicity 2)
O: 0.443 0.500 0.650 (multiplicity 2)
O: 0.460 0.000 0.944 (multiplicity 2)